[1]
# NaCoRhS3

A relaxed structure of NaCoRhS3 (PBE-GGA, the Alexandria database).

The value obtained for the density of states at the Fermi level is 0.391 states/eV/atom. The uncorrected formation energy comes out at -0.584 eV/atom.

The space group is P2_1/m (No. 11) and the conventional cell measures 7.551, 3.584 and 8.457 Å, with angles of 90.00, 108.68 and 90.00 degrees. The inequivalent atoms are Na at (0.220, 0.250, 0.247), Co at (0.087, 0.250, 0.606), Rh at (0.318, 0.750, 0.842), S at (0.115, 0.250, 0.871), S at (0.216, 0.750, 0.534) and S at (0.462, 0.750, 0.141).



[2]
# TcH2Ru

A relaxed structure of TcH2Ru (PBE-GGA, the Alexandria database).

For the energy above the most stable polymorph in this dataset, the calculation gives 0.052 eV/atom. The value obtained for the density of states at the Fermi level is 0.563 states/eV/atom.

The space group is R-3m (No. 166, hexagonal axes) and the conventional cell measures 2.8862, 2.8862 and 14.6100 Å, with angles of 90.00, 90.00 and 120.00 degrees. The inequivalent atoms are Tc at (0.0000, 0.0000, 0.0000), H at (0.0000, 0.0000, 0.3826) and Ru at (0.0000, 0.0000, 0.5000).



[3]
# SrZrHg2

A relaxed structure of SrZrHg2 (PBE-GGA, the Alexandria database).

As for the calculated formation energy: -0.049 eV/atom. The value obtained for the density of states at the Fermi level is 0.885 states/eV/atom.

The space group is R-3m (No. 166, hexagonal axes) and the conventional cell measures 3.7341, 3.7341 and 27.9626 Å, with angles of 90.00, 90.00 and 120.00 degrees. The inequivalent atoms are Sr at (0.0000, 0.0000, 0.0000), Zr at (0.0000, 0.0000, 0.5000) and Hg at (0.0000, 0.0000, 0.2415).